[1]
A relaxed DyNpAs2 crystal, computed with PBE.

Cell: 7.364 7.364 7.364 Å, 32.14 32.14 32.14°
Fractional coordinates of all 4 atoms:
Dy 0.000 0.000 0.000
Np 0.172 0.172 0.172
As 0.584 0.584 0.584
As 0.755 0.755 0.755

Results
The calculation puts the formation energy from the elements at -952 meV/atom. The offset from the most stable computed form is 153 meV/atom.

[2]
A relaxed Er4CuSb crystal, computed with PBE.

Cell: 5.406 6.756 8.516 Å, 90.00 100.14 90.00°
Fractional coordinates of all 12 atoms:
Er 0.138 0.250 0.046
Er 0.210 0.750 0.359
Er 0.320 0.516 0.743
Er 0.320 0.984 0.743
Er 0.680 0.016 0.257
Er 0.680 0.484 0.257
Er 0.790 0.250 0.641
Er 0.862 0.750 0.954
Cu 0.370 0.750 0.044
Cu 0.630 0.250 0.956
Sb 0.224 0.250 0.418
Sb 0.776 0.750 0.582

Results
The value obtained for the uncorrected formation energy is -389 meV/atom. The offset from the most stable computed form is 0 meV/atom.

[3]
A relaxed LaReClO4 crystal, computed with PBE.

Cell: 6.574 6.574 7.187 Å, 102.23 102.23 68.97°
Fractional coordinates of all 14 atoms:
La 0.219 0.219 0.106
La 0.781 0.781 0.894
Re 0.367 0.367 0.721
Re 0.633 0.633 0.279
Cl 0.011 0.011 0.765
Cl 0.989 0.989 0.235
O 0.128 0.478 0.855
O 0.289 0.289 0.474
O 0.466 0.466 0.217
O 0.478 0.128 0.855
O 0.522 0.872 0.145
O 0.534 0.534 0.783
O 0.711 0.711 0.526
O 0.872 0.522 0.145

Results
The value obtained for the uncorrected formation energy is -2189 meV/atom.

[4]
A relaxed ZrMnHg2 crystal, computed with PBE.

Cell: 3.348 3.348 7.119 Å, 90.00 90.00 90.00°
Fractional coordinates of all 4 atoms:
Zr 0.000 0.000 0.000
Mn 0.000 0.000 0.500
Hg 0.500 0.500 0.274
Hg 0.500 0.500 0.726

Results
The calculation puts the formation energy from the elements at 61 meV/atom.

[5]
A relaxed Zn2HgW crystal, computed with PBE.

Cell: 2.862 4.062 5.773 Å, 90.00 90.00 90.00°
Fractional coordinates of all 4 atoms:
Zn 0.000 0.000 0.000
Zn 0.500 0.500 0.253
Hg 0.000 0.000 0.508
W 0.500 0.500 0.788

Results
The calculation puts the formation energy from the elements at 512 meV/atom.

[6]
A relaxed Pm4Er3 crystal, computed with PBE.

Cell: 8.617 8.617 8.775 Å, 115.94 115.94 23.47°
Fractional coordinates of all 7 atoms:
Pm 0.080 0.080 0.205
Pm 0.362 0.362 0.092
Pm 0.638 0.638 0.908
Pm 0.920 0.920 0.795
Er 0.000 0.000 0.500
Er 0.221 0.221 0.644
Er 0.779 0.779 0.356

Results
The calculation puts the formation energy from the elements at 132 meV/atom. The offset from the most stable computed form is 115 meV/atom.

[7]
A relaxed TiTe2RuI crystal, computed with PBE.

Cell: 5.171 5.171 5.333 Å, 90.00 90.00 90.00°
Fractional coordinates of all 5 atoms:
Ti 0.000 0.000 0.000
Te 0.000 0.500 0.500
Te 0.500 0.000 0.500
Ru 0.500 0.500 0.500
I 0.500 0.500 0.000

Results
The value obtained for the uncorrected formation energy is 714 meV/atom. The offset from the most stable computed form is 0 meV/atom.

[8]
A relaxed CaSb4O9 crystal, computed with PBE.

Cell: 5.872 8.629 10.607 Å, 90.75 100.51 95.83°
Fractional coordinates of all 28 atoms:
Ca 0.186 0.226 0.212
Ca 0.814 0.774 0.788
Sb 0.223 0.388 0.525
Sb 0.304 0.797 0.529
Sb 0.363 0.026 0.846
Sb 0.387 0.649 0.015
Sb 0.613 0.351 0.985
Sb 0.637 0.974 0.154
Sb 0.696 0.203 0.471
Sb 0.777 0.612 0.475
O 0.014 0.751 0.608
O 0.041 0.011 0.827
O 0.089 0.666 0.928
O 0.148 0.582 0.431
O 0.403 0.436 0.089
O 0.450 0.343 0.396
O 0.455 0.131 0.038
O 0.471 0.926 0.708
O 0.497 0.759 0.182
O 0.503 0.241 0.818
O 0.529 0.074 0.292
O 0.545 0.869 0.962
O 0.550 0.657 0.604
O 0.597 0.564 0.911
O 0.852 0.418 0.569
O 0.911 0.334 0.072
O 0.959 0.989 0.173
O 0.986 0.249 0.392

Results
The value obtained for the uncorrected formation energy is -1501 meV/atom.